# 1
DFT (GGA-PBE) results for a relaxed structure of ReTc2Ir.

**Space group**: No. 6
**Relative energy among the computed polymorphs**: 0.188 eV per atom
**ΔH_f (0 K)**: 9.5 meV/atom

Unit cell a=4.2873 b=2.7278 c=5.2496 alpha=75.04 beta=90.00 gamma=90.00
Closest atoms and distances in Å follow each position.
Element x y z (fractional)
1 Ir 0.0000 0.5480 0.5277  7 Tc 2.66-2.97, 2 Ir 2.73, 4 Re 2.77
2 Re 0.5000 0.9406 0.7434  5 Tc 2.52-2.80, 2 Re 2.73, 4 Ir 2.77
3 Tc 0.0000 0.8107 0.0037  2 Re 2.52, 3 Ir 2.66-2.77, 6 Tc 2.73-2.78
4 Tc 0.5000 0.2008 0.2252  3 Re 2.63-2.80, 6 Tc 2.73-2.78

---

# 2
DFT (GGA-PBE) results for a relaxed structure of Li3Ga6Rh.

**Space group**: No. 148
**ΔH_f (0 K)**: -289.7 meV/atom

Unit cell a=7.1406 b=7.1406 c=7.1406 alpha=78.00 beta=78.00 gamma=78.00
Closest atoms and distances in Å follow each position.
Element x y z (fractional)
1 Li 0.4129 0.7821 0.7918  4 Ga 2.58-2.80
2 Li 0.7821 0.7918 0.4129  4 Ga 2.58-2.80
3 Li 0.2082 0.5871 0.2179  4 Ga 2.58-2.80
4 Li 0.7918 0.4129 0.7821  4 Ga 2.58-2.80
5 Li 0.2179 0.2082 0.5871  4 Ga 2.58-2.80
6 Li 0.5871 0.2179 0.2082  4 Ga 2.58-2.80
7 Ga 0.3275 0.9828 0.0797  1 Rh 2.49, 4 Ga 2.53-2.77, 1 Li 2.64
8 Ga 0.0172 0.9203 0.6725  1 Rh 2.49, 4 Ga 2.53-2.77, 1 Li 2.64
9 Ga 0.3893 0.8734 0.4277  1 Ga 2.55, 3 Li 2.58-2.80, 1 Rh 2.59
10 Ga 0.9203 0.6725 0.0172  1 Rh 2.49, 4 Ga 2.53-2.77, 1 Li 2.64
11 Ga 0.4277 0.3893 0.8734  1 Ga 2.55, 3 Li 2.58-2.80, 1 Rh 2.59
12 Ga 0.1266 0.5723 0.6107  1 Ga 2.55, 3 Li 2.58-2.80, 1 Rh 2.59
13 Ga 0.8734 0.4277 0.3893  1 Ga 2.55, 3 Li 2.58-2.80, 1 Rh 2.59
14 Ga 0.5723 0.6107 0.1266  1 Ga 2.55, 3 Li 2.58-2.80, 1 Rh 2.59
15 Ga 0.0797 0.3275 0.9828  1 Rh 2.49, 4 Ga 2.53-2.77, 1 Li 2.64
16 Ga 0.6107 0.1266 0.5723  1 Ga 2.55, 3 Li 2.58-2.80, 1 Rh 2.59
17 Ga 0.9828 0.0797 0.3275  1 Rh 2.49, 4 Ga 2.53-2.77, 1 Li 2.64
18 Ga 0.6725 0.0172 0.9203  1 Rh 2.49, 4 Ga 2.53-2.77, 1 Li 2.64
19 Rh 0.0000 0.0000 0.0000  6 Ga 2.49
20 Rh 0.5000 0.5000 0.5000  6 Ga 2.59

---

# 3
DFT (GGA-PBE) results for a relaxed structure of CrCd2As.

**Space group**: No. 119
**ΔH_f (0 K)**: 272.4 meV/atom

Unit cell a=5.3075 b=5.3075 c=5.3075 alpha=132.71 beta=132.71 gamma=69.11
Closest atoms and distances in Å follow each position.
Element x y z (fractional)
1 As 0.7500 0.2500 0.5000  8 Cd 3.01-3.05, 4 Cr 3.05
2 Cd 0.0000 0.0000 0.0000  4 Cr 3.01, 4 Cd 3.05, 4 As 3.05
3 Cd 0.2500 0.7500 0.5000  4 As 3.01, 4 Cd 3.05, 4 Cr 3.05
4 Cr 0.5000 0.5000 0.0000  8 Cd 3.01-3.05, 4 As 3.05

---

# 4
DFT (GGA-PBE) results for a relaxed structure of Co2PHS.

**Space group**: No. 123
**Total energy**: -0.3623 Ry per atom

Unit cell a=3.9006 b=3.3689 c=3.9006 alpha=90.00 beta=90.00 gamma=90.00
Closest atoms and distances in Å follow each position.
Element x y z (fractional)
1 P 0.0000 0.5000 0.0000  2 H 1.68
2 S 0.5000 0.5000 0.5000  8 Co 2.58, 4 P 2.76
3 Co 0.0000 0.0000 0.5000  2 H 1.95
4 Co 0.5000 0.0000 0.0000  2 H 1.95
5 H 0.0000 0.0000 0.0000  2 P 1.68

---

# 5
DFT (GGA-PBE) results for a relaxed structure of Pr4Si2Cl.

**Space group**: No. 122
**ΔE_f (raw)**: -0.851 eV per atom

Unit cell a=7.8850 b=7.8850 c=7.8850 alpha=110.68 beta=107.08 gamma=110.68
Closest atoms and distances in Å follow each position.
Element x y z (fractional)
1 Pr 0.7552 0.2628 0.8692  1 Cl 2.95, 3 Si 2.95-3.25
2 Pr 0.9948 0.6139 0.7576  1 Cl 2.95, 3 Si 2.95-3.25
3 Pr 0.6064 0.7372 0.4924  1 Cl 2.95, 3 Si 2.95-3.25
4 Pr 0.1436 0.3861 0.3808  1 Cl 2.95, 3 Si 2.95-3.25
5 Pr 0.5076 0.1139 0.2448  1 Cl 2.95, 3 Si 2.95-3.25
6 Pr 0.6192 0.7628 0.0052  1 Cl 2.95, 3 Si 2.95-3.25
7 Pr 0.2424 0.2372 0.8564  1 Cl 2.95, 3 Si 2.95-3.25
8 Pr 0.1308 0.8861 0.3936  1 Cl 2.95, 3 Si 2.95-3.25
9 Si 0.3750 0.8730 0.7480  6 Pr 2.95-3.25
10 Si 0.4980 0.3730 0.6250  6 Pr 2.95-3.25
11 Si 0.8750 0.1270 0.5020  6 Pr 2.95-3.25
12 Si 0.2520 0.6270 0.1250  6 Pr 2.95-3.25
13 Cl 0.7500 0.5000 0.2500  4 Pr 2.95
14 Cl 0.0000 0.0000 0.0000  4 Pr 2.95

---

# 6
DFT (GGA-PBE) results for a relaxed structure of HoEr2ThBi4.

**Space group**: No. 10
**ΔH_f (0 K)**: -761.7 meV/atom

Unit cell a=4.4990 b=7.7698 c=7.7729 alpha=70.50 beta=90.00 gamma=90.00
Closest atoms and distances in Å follow each position.
Element x y z (fractional)
1 Ho 0.0000 0.5000 0.5000  6 Bi 3.18
2 Er 0.0000 0.0000 0.0000  6 Bi 3.17
3 Er 0.5000 0.0000 0.5000  6 Bi 3.13
4 Th 0.5000 0.5000 0.0000  6 Bi 3.22-3.23
5 Bi 0.0000 0.7582 0.7424  3 Er 3.13-3.17, 1 Ho 3.18, 2 Th 3.23
6 Bi 0.0000 0.2418 0.2576  3 Er 3.13-3.17, 1 Ho 3.18, 2 Th 3.23
7 Bi 0.5000 0.7544 0.2528  3 Er 3.13-3.17, 2 Ho 3.18, 1 Th 3.22
8 Bi 0.5000 0.2456 0.7472  3 Er 3.13-3.17, 2 Ho 3.18, 1 Th 3.22